Density functional theory data (PBE) for an optimized crystal structure of Mg2SnMo.

Summary:
Its energy relative to the elements is 556 meV per atom. The value obtained for the raw total energy is -63.19 eV for the cell shown. The value obtained for the density is 5211 kg/m3.

a = 7.778 Å, b = 7.778 Å, c = 5.547 Å
α = 90.00°, β = 90.00°, γ = 90.00°
Space group I-42d (No. 122)
Symmetry-distinct sites (fractional):
Mg  0.239  0.250  0.125 (multiplicity 8)
Sn  0.000  0.000  0.500 (multiplicity 4)
Mo  0.000  0.000  0.000 (multiplicity 4)